No. 1
Density functional theory data (PBE-GGA) for a relaxed structure of TmLuAl2Fe4.

- final energy (eV/cell) = -52.16
- magnetic moment (μB per cell) = 7.05

a b c (Å): 3.937 4.898 6.733
angles (deg): 90.00 90.00 90.00
Space group Pmm2 (No. 25)
Inequivalent atoms, fractional coordinates:
Tm 0.000 0.000 0.000 x1
Lu 0.000 0.500 0.616 x1
Al 0.500 0.000 0.647 x1
Al 0.500 0.500 0.971 x1
Fe 0.000 0.000 0.409 x1
Fe 0.000 0.500 0.211 x1
Fe 0.500 0.250 0.310 x2

=====

No. 2
Density functional theory data (PBE-GGA) for a relaxed structure of LuAlFeW.

- final energy (eV/cell) = -112.46
- E above lowest polymorph (eV per formula unit) = 0.00
- magnetic moment (μB per cell) = 10.28

a b c (Å): 6.423 6.423 6.423
angles (deg): 90.00 90.00 90.00
Space group F-43m (No. 216)
Inequivalent atoms, fractional coordinates:
Lu 0.000 0.000 0.000 x4
Al 0.000 0.000 0.500 x4
Fe 0.250 0.250 0.750 x4
W 0.250 0.250 0.250 x4

=====

No. 3
Density functional theory data (PBE-GGA) for a relaxed structure of LuAlZnFe.

- final energy (eV/cell) = -73.18
- E above lowest polymorph (eV per formula unit) = 0.00
- magnetic moment (μB per cell) = 7.26

a b c (Å): 6.405 6.405 6.405
angles (deg): 90.00 90.00 90.00
Space group F-43m (No. 216)
Inequivalent atoms, fractional coordinates:
Lu 0.000 0.000 0.000 x4
Al 0.000 0.000 0.500 x4
Zn 0.250 0.250 0.250 x4
Fe 0.250 0.250 0.750 x4

=====

- Which value of final energy does entry 2 give?
  -112.46 eV/cell

=====

- Look up the magnetic moment of the second one.
  10.28 μB per cell

=====

- Among the records above, which one has the lowest final energy?
  LuAlFeW